DFT (PBE) results for Fe2Br4Cl after structural relaxation.

abc: 9.2393 7.4945 10.6009
angles: 58.43 43.72 77.85
Last column: nearest neighbours and their distance in Å.
Atoms (fractional coordinates):
Fe1 0.3090 0.6910 0.5391  1 Cl 2.36, 4 Br 2.44-2.59
Fe2 0.6910 0.3090 0.4609  1 Cl 2.36, 4 Br 2.44-2.59
Fe3 0.7109 0.7891 0.9410  1 Cl 2.36, 4 Br 2.44-2.59
Fe4 0.7891 0.7109 0.5590  1 Cl 2.36, 4 Br 2.44-2.59
Br1 0.1022 0.9685 0.6096  2 Fe 2.44-2.53
Br2 0.1042 0.5763 0.5009  2 Fe 2.58-2.59
Br3 0.4314 0.7491 0.6737  2 Fe 2.58-2.59
Br4 0.5763 0.1042 0.8186  2 Fe 2.58-2.59
Br5 0.6404 0.9303 0.1478  2 Fe 2.44-2.53
Br6 0.7491 0.4314 0.1458  2 Fe 2.58-2.59
Br7 0.9303 0.6404 0.2815  2 Fe 2.44-2.53
Br8 0.9685 0.1022 0.3197  2 Fe 2.44-2.53
Cl1 0.3286 0.3286 0.6714  2 Fe 2.36
Cl2 0.5786 0.5786 0.9214  2 Fe 2.36

- Energy: -0.299 Ry per atom
- DOS at the Fermi energy: 12.895 states/eV per cell
- Size of the total moment: 18.034 μB per cell
- Uncorrected formation energy: -0.430 eV per atom
- Calculated volume: 207.2 Å³/f.u.